# 1
{"formula": "CrMoI2N", "functional": "PBE", "state": "relaxed", "lattice": [[5.624, 0.000, 0.000], [0.000, 5.624, 0.000], [0.000, 0.000, 3.625]], "species": ["Cr", "Mo", "I", "I", "N"], "fractional_positions": [[0.000, 0.000, 0.000], [0.500, 0.500, 0.500], [0.000, 0.500, 0.000], [0.500, 0.000, 0.000], [0.000, 0.000, 0.500]]}

---

# 2
{"formula": "K2RbSr", "functional": "PBE", "state": "relaxed", "lattice": [[3.945, -2.280, 0.000], [3.945, 2.280, 0.000], [-2.584, 0.000, 15.612]], "species": ["K", "K", "Rb", "Sr"], "fractional_positions": [[0.000, 0.000, 0.000], [0.157, 0.157, 0.472], [0.579, 0.579, 0.736], [0.412, 0.412, 0.236]]}

---

# 3
{"formula": "AlGe2Br", "functional": "PBE", "state": "relaxed", "lattice": [[-3.006, 3.006, 6.542], [3.006, -3.006, 6.542], [3.006, 3.006, -6.542]], "species": ["Al", "Al", "Ge", "Ge", "Ge", "Ge", "Br", "Br"], "fractional_positions": [[0.000, 0.000, 0.000], [0.750, 0.250, 0.500], [0.074, 0.625, 0.949], [0.375, 0.324, 0.449], [0.676, 0.125, 0.051], [0.875, 0.926, 0.551], [0.250, 0.750, 0.500], [0.500, 0.500, 0.000]]}

---

Number 1: E_tot -5.593 eV/atom. Number 2: E_tot -1.143 eV/atom. Number 3: E_tot -3.286 eV/atom.